Record 1
PuTeMo after structural relaxation, computed with PBE.

Calculated total energy (eV/atom): -9.332

Cell lengths 13.247, 3.469, 6.021 Å; angles 90.00, 90.00, 90.00 degrees
Space group Amm2 (No. 38)
Inequivalent atoms, fractional coordinates:
Pu1 0.156 0.000 0.000
Te1 0.358 0.000 0.333
Mo1 0.000 0.000 0.329
Mo2 0.500 0.000 0.000



Record 2
PuTh2Mo after structural relaxation, computed with PBE.

Energy of formation (eV/atom): 0.54
Energy relative to the lowest polymorph listed for this composition (eV per atom): 0.3551

Cell lengths 3.4391, 3.4391, 32.2023 Å; angles 90.00, 90.00, 120.00 degrees
Space group R-3m (No. 166, hexagonal axes)
Inequivalent atoms, fractional coordinates:
Pu1 0.0000 0.0000 0.0000
Th1 0.0000 0.0000 0.0976
Mo1 0.0000 0.0000 0.5000



Record 3
PuTh2Mo after structural relaxation, computed with PBE.

Energy of formation (eV/atom): 0.18
Energy relative to the lowest polymorph listed for this composition (eV per atom): 0.0000

Cell lengths 3.589, 3.589, 7.900 Å; angles 90.00, 90.00, 90.00 degrees
Space group P4/mmm (No. 123)
Inequivalent atoms, fractional coordinates:
Pu1 0.000 0.000 0.000
Th1 0.500 0.500 0.277
Mo1 0.000 0.000 0.500



Record 4
PuThMo4 after structural relaxation, computed with PBE.

Energy of formation (eV/atom): 0.18

Cell lengths 7.824, 7.824, 7.824 Å; angles 90.00, 90.00, 90.00 degrees
Space group F-43m (No. 216)
Inequivalent atoms, fractional coordinates:
Pu1 0.000 0.000 0.000
Th1 0.250 0.250 0.250
Mo1 0.125 0.125 0.625



Record 5
PuTiMo after structural relaxation, computed with PBE.

Energy of formation (eV/atom): 0.31

Cell lengths 9.883, 9.883, 4.934 Å; angles 90.00, 90.00, 90.00 degrees
Space group I4/mmm (No. 139)
Inequivalent atoms, fractional coordinates:
Pu1 0.169 0.169 0.000
Ti1 0.000 0.227 0.500
Mo1 0.000 0.372 0.000



Record 6
PuTi8Mo2 after structural relaxation, computed with PBE.

Energy of formation (eV/atom): 0.00

Cell lengths 2.878, 7.008, 9.553 Å; angles 93.00, 94.81, 100.22 degrees
Space group P1 (No. 1)
Inequivalent atoms, fractional coordinates:
Pu1 0.000 0.000 0.000
Ti1 0.228 0.448 0.369
Ti2 0.252 0.643 0.919
Ti3 0.266 0.283 0.796
Ti4 0.471 0.081 0.291
Ti5 0.537 0.919 0.709
Ti6 0.743 0.717 0.204
Ti7 0.752 0.357 0.080
Ti8 0.780 0.552 0.631
Mo1 0.100 0.815 0.458
Mo2 0.909 0.185 0.542



Record 7
PuTi4Mo after structural relaxation, computed with PBE.

Energy of formation (eV/atom): 0.16

Cell lengths 5.516, 15.921, 4.972 Å; angles 90.00, 104.46, 90.00 degrees
Space group C2/c (No. 15)
Inequivalent atoms, fractional coordinates:
Pu1 0.000 0.126 0.250
Ti1 0.238 0.462 0.235
Ti2 0.248 0.288 0.251
Mo1 0.000 0.378 0.750



Record 8
PuTiZnMo after structural relaxation, computed with PBE.

Energy of formation (eV/atom): 0.13

Cell lengths 6.618, 6.618, 6.618 Å; angles 90.00, 90.00, 90.00 degrees
Space group F-43m (No. 216)
Inequivalent atoms, fractional coordinates:
Pu1 0.000 0.000 0.000
Ti1 0.000 0.000 0.500
Zn1 0.250 0.250 0.250
Mo1 0.250 0.250 0.750



Record 9
TmPu2Mo after structural relaxation, computed with PBE.

Energy of formation (eV/atom): 0.36

Cell lengths 3.2974, 3.2974, 30.2987 Å; angles 90.00, 90.00, 120.00 degrees
Space group R-3m (No. 166, hexagonal axes)
Inequivalent atoms, fractional coordinates:
Tm1 0.0000 0.0000 0.0000
Pu1 0.0000 0.0000 0.2387
Mo1 0.0000 0.0000 0.5000



Record 10
PuVMo after structural relaxation, computed with PBE.

Energy of formation (eV/atom): 0.24
Energy relative to the lowest polymorph listed for this composition (eV per atom): 0.0000

Cell lengths 3.139, 3.139, 10.742 Å; angles 90.00, 90.00, 90.00 degrees
Space group I4mm (No. 107)
Inequivalent atoms, fractional coordinates:
Pu1 0.000 0.000 0.000
V1 0.000 0.000 0.314
Mo1 0.000 0.000 0.685



Record 11
PuVMo after structural relaxation, computed with PBE.

Energy of formation (eV/atom): 0.46
Energy relative to the lowest polymorph listed for this composition (eV per atom): 0.2247

Cell lengths 3.8868, 3.8868, 23.0390 Å; angles 90.00, 90.00, 120.00 degrees
Space group R-3m (No. 166, hexagonal axes)
Inequivalent atoms, fractional coordinates:
Pu1 0.0000 0.0000 0.1922
V1 0.0000 0.0000 0.3538
Mo1 0.0000 0.0000 0.0645



Record 12
PuZn4Mo after structural relaxation, computed with PBE.

Energy of formation (eV/atom): 0.07

Cell lengths 7.376, 7.376, 7.376 Å; angles 90.00, 90.00, 90.00 degrees
Space group F-43m (No. 216)
Inequivalent atoms, fractional coordinates:
Pu1 0.000 0.000 0.000
Zn1 0.124 0.124 0.376
Mo1 0.250 0.250 0.750



Record 13
PuZrMo after structural relaxation, computed with PBE.

Energy of formation (eV/atom): 0.17
Energy relative to the lowest polymorph listed for this composition (eV per atom): 0.0000

Cell lengths 3.375, 3.375, 10.599 Å; angles 90.00, 90.00, 90.00 degrees
Space group I4mm (No. 107)
Inequivalent atoms, fractional coordinates:
Pu1 0.000 0.000 0.000
Zr1 0.000 0.000 0.311
Mo1 0.000 0.000 0.648



Record 14
PuZrMo after structural relaxation, computed with PBE.

Energy of formation (eV/atom): 0.26
Energy relative to the lowest polymorph listed for this composition (eV per atom): 0.0846

Cell lengths 3.220, 4.504, 8.495 Å; angles 90.00, 90.00, 90.00 degrees
Space group Pmmm (No. 47)
Inequivalent atoms, fractional coordinates:
Pu1 0.000 0.000 0.179
Zr1 0.500 0.000 0.500
Zr2 0.500 0.500 0.000
Mo1 0.000 0.500 0.325



Record 15
PuZr2Mo after structural relaxation, computed with PBE.

Energy of formation (eV/atom): 0.38
Energy relative to the lowest polymorph listed for this composition (eV per atom): 0.2901

Cell lengths 3.2139, 3.2139, 30.8241 Å; angles 90.00, 90.00, 120.00 degrees
Space group R-3m (No. 166, hexagonal axes)
Inequivalent atoms, fractional coordinates:
Pu1 0.0000 0.0000 0.0000
Zr1 0.0000 0.0000 0.0997
Mo1 0.0000 0.0000 0.5000



Record 16
PuZr2Mo after structural relaxation, computed with PBE.

Energy of formation (eV/atom): 0.09
Energy relative to the lowest polymorph listed for this composition (eV per atom): 0.0000

Cell lengths 3.349, 3.349, 7.785 Å; angles 90.00, 90.00, 90.00 degrees
Space group P4/mmm (No. 123)
Inequivalent atoms, fractional coordinates:
Pu1 0.000 0.000 0.000
Zr1 0.500 0.500 0.293
Mo1 0.000 0.000 0.500



Record 17
RbMo after structural relaxation, computed with PBE.

Energy of formation (eV/atom): 2.70
Energy relative to the lowest polymorph listed for this composition (eV per atom): 1.6837

Cell lengths 8.727, 8.727, 8.727 Å; angles 90.00, 90.00, 90.00 degrees
Space group F-43m (No. 216)
Inequivalent atoms, fractional coordinates:
Rb1 0.000 0.000 0.000
Mo1 0.250 0.250 0.750



Record 18
RbMo after structural relaxation, computed with PBE.

Energy of formation (eV/atom): 1.11
Energy relative to the lowest polymorph listed for this composition (eV per atom): 0.0945

Cell lengths 15.772, 3.385, 8.875 Å; angles 90.00, 90.00, 90.00 degrees
Space group Pmn2_1 (No. 31)
Inequivalent atoms, fractional coordinates:
Rb1 0.000 0.236 0.000
Rb2 0.215 0.744 0.690
Mo1 0.000 0.238 0.534
Mo2 0.075 0.739 0.371



Record 19
RbMo after structural relaxation, computed with PBE.

Energy of formation (eV/atom): 1.88
Energy relative to the lowest polymorph listed for this composition (eV per atom): 0.8616

Cell lengths 2.9661, 2.9661, 12.9735 Å; angles 90.00, 90.00, 120.00 degrees
Space group P6_3mc (No. 186)
Inequivalent atoms, fractional coordinates:
Rb1 0.3333 0.6667 0.0000
Mo1 0.3333 0.6667 0.2558



Record 20
RbMo after structural relaxation, computed with PBE.

Energy of formation (eV/atom): 2.71
Energy relative to the lowest polymorph listed for this composition (eV per atom): 1.6881

Cell lengths 10.758, 10.758, 10.758 Å; angles 90.00, 90.00, 90.00 degrees
Space group Pm-3n (No. 223)
Inequivalent atoms, fractional coordinates:
Rb1 0.000 0.250 0.500
Mo1 0.000 0.500 0.250